(1)
A relaxed structure of LaSm2H, computed with GGA-PBE.

## Properties
- E above lowest polymorph: 0.0 meV per atom
- V: 26.21 Å³/atom
- N(E_F): 4.34 states/eV/f.u.
- Uncorrected energy: -0.1685 hartree per atom

a = 3.6866 Å, b = 3.6866 Å, c = 9.1595 Å
α = 78.39°, β = 78.39°, γ = 60.00°
Last column: nearest neighbours and their distance in Å.
Fractional coordinates of all 4 atoms:
Sm 0.2805 0.2805 0.1586  3 H 2.55
Sm 0.0525 0.0525 0.8426  3 H 2.55
La 0.5007 0.5007 0.4980  6 La 3.69, 6 Sm 3.70-3.74
H 0.6664 0.6664 0.0007  6 Sm 2.55

---

(2)
A relaxed structure of MgCdPb2, computed with GGA-PBE.

## Properties
- E above lowest polymorph: 65.8 meV per atom
- V: 27.76 Å³/atom
- N(E_F): 1.84 states/eV/f.u.
- Formation enthalpy at 0 K: 0.0398 eV/atom
- Uncorrected energy: -0.0897 hartree per atom

a = 3.5724 Å, b = 5.7539 Å, c = 5.4012 Å
α = 90.00°, β = 90.00°, γ = 90.00°
Last column: nearest neighbours and their distance in Å.
Fractional coordinates of all 4 atoms:
Mg 0.0000 0.5000 0.5000  4 Pb 3.24, 4 Cd 3.39, 2 Mg 3.57
Cd 0.5000 0.0000 0.5000  4 Pb 3.24, 4 Mg 3.39, 2 Cd 3.57
Pb 0.0000 0.0000 0.0000  4 Cd 3.24, 6 Pb 3.39-3.57
Pb 0.5000 0.5000 0.0000  4 Mg 3.24, 6 Pb 3.39-3.57

---

(3)
A relaxed structure of BeVTe, computed with GGA-PBE.

## Properties
- E above lowest polymorph: 106.9 meV per atom
- Energy relative to the elements, uncorrected: -0.0595 eV/atom
- V: 18.87 Å³/atom
- N(E_F): 1.18 states/eV/f.u.
- Uncorrected energy: -0.1980 hartree per atom

a = 3.6162 Å, b = 3.6216 Å, c = 17.2931 Å
α = 90.00°, β = 90.00°, γ = 90.00°
Last column: nearest neighbours and their distance in Å.
Fractional coordinates of all 12 atoms:
Te 0.5000 0.0000 0.3254  4 V 2.69-2.74
Te 0.0000 0.0000 0.0096  4 Be 2.45-2.46
Te 0.0000 0.5000 0.5096  4 Be 2.45-2.46
Te 0.5000 0.5000 0.8254  4 V 2.69-2.74
Be 0.0000 0.0000 0.6057  2 Te 2.46, 4 V 2.51-2.56, 4 Be 2.56
Be 0.5000 0.0000 0.1053  2 Te 2.45, 4 V 2.51-2.57, 4 Be 2.56
Be 0.0000 0.5000 0.1057  2 Te 2.46, 4 V 2.51-2.56, 4 Be 2.56
Be 0.5000 0.5000 0.6053  2 Te 2.45, 4 V 2.51-2.57, 4 Be 2.56
V 0.5000 0.5000 0.2107  4 V 2.56, 4 Be 2.56-2.57, 2 Te 2.69
V 0.0000 0.5000 0.7060  4 Be 2.51, 4 V 2.56, 2 Te 2.74
V 0.0000 0.0000 0.2060  4 Be 2.51, 4 V 2.56, 2 Te 2.74
V 0.5000 0.0000 0.7107  4 V 2.56, 4 Be 2.56-2.57, 2 Te 2.69

---

(4)
A relaxed structure of PuAlRhO6, computed with GGA-PBE.

## Properties
- Energy relative to the elements, uncorrected: -2.0051 eV/atom
- V: 11.13 Å³/atom
- N(E_F): 3.16 states/eV/f.u.
- Uncorrected energy: -0.2990 hartree per atom

a = 5.1686 Å, b = 5.1686 Å, c = 8.6614 Å
α = 90.00°, β = 90.00°, γ = 120.00°
Last column: nearest neighbours and their distance in Å.
Fractional coordinates of all 18 atoms:
Pu 0.6667 0.3333 0.7500  6 O 2.09
Pu 0.3333 0.6667 0.2500  6 O 2.09
Rh 0.0000 0.0000 0.5000  6 O 2.07
Rh 0.0000 0.0000 0.0000  6 O 2.07
O 0.0230 0.6744 0.8711  1 Al 1.93, 1 Rh 2.07, 1 Pu 2.09
O 0.9770 0.6514 0.3711  1 Al 1.93, 1 Rh 2.07, 1 Pu 2.09
O 0.6514 0.6744 0.6289  1 Al 1.93, 1 Rh 2.07, 1 Pu 2.09
O 0.3256 0.9770 0.6289  1 Al 1.93, 1 Rh 2.07, 1 Pu 2.09
O 0.9770 0.3256 0.1289  1 Al 1.93, 1 Rh 2.07, 1 Pu 2.09
O 0.6744 0.6514 0.1289  1 Al 1.93, 1 Rh 2.07, 1 Pu 2.09
O 0.3486 0.3256 0.3711  1 Al 1.93, 1 Rh 2.07, 1 Pu 2.09
O 0.6514 0.9770 0.8711  1 Al 1.93, 1 Rh 2.07, 1 Pu 2.09
O 0.6744 0.0230 0.3711  1 Al 1.93, 1 Rh 2.07, 1 Pu 2.09
O 0.3486 0.0230 0.1289  1 Al 1.93, 1 Rh 2.07, 1 Pu 2.09
O 0.3256 0.3486 0.8711  1 Al 1.93, 1 Rh 2.07, 1 Pu 2.09
O 0.0230 0.3486 0.6289  1 Al 1.93, 1 Rh 2.07, 1 Pu 2.09
Al 0.6667 0.3333 0.2500  6 O 1.93
Al 0.3333 0.6667 0.7500  6 O 1.93

---

(5)
A relaxed structure of PdAu2F8, computed with GGA-PBE.

## Properties
- E above lowest polymorph: 66.0 meV per atom
- Energy relative to the elements, uncorrected: -1.0028 eV/atom
- V: 15.90 Å³/atom
- N(E_F): 1.70 states/eV/f.u.
- Uncorrected energy: -0.1261 hartree per atom

a = 5.1487 Å, b = 5.9170 Å, c = 5.9170 Å
α = 82.16°, β = 98.77°, γ = 98.77°
Last column: nearest neighbours and their distance in Å.
Fractional coordinates of all 11 atoms:
Au 0.4841 0.6857 0.6857  3 F 2.02-2.14
Au 0.5159 0.3143 0.3143  3 F 2.02-2.14
F 0.7535 0.5414 0.5414  2 Au 2.07-2.14
F 0.2465 0.4586 0.4586  2 Au 2.07-2.14
F 0.2147 0.8212 0.8212  1 Au 2.02, 1 Pd 2.12
F 0.7525 0.0410 0.7134  1 Pd 1.97
F 0.2475 0.9590 0.2866  1 Pd 1.97
F 0.7525 0.7134 0.0410  1 Pd 1.97
F 0.7853 0.1788 0.1788  1 Au 2.02, 1 Pd 2.12
F 0.2475 0.2866 0.9590  1 Pd 1.97
Pd 0.0000 0.0000 0.0000  6 F 1.97-2.12

---

(6)
A relaxed structure of BaTmPb2, computed with GGA-PBE.

## Properties
- V: 36.77 Å³/atom
- N(E_F): 4.31 states/eV/f.u.
- Formation enthalpy at 0 K: -0.3494 eV/atom
- Uncorrected energy: -0.1397 hartree per atom

a = 5.1361 Å, b = 5.1361 Å, c = 7.0874 Å
α = 68.76°, β = 68.76°, γ = 60.00°
Last column: nearest neighbours and their distance in Å.
Fractional coordinates of all 4 atoms:
Pb 0.7261 0.7261 0.8217  3 Tm 3.18
Pb 0.2739 0.2739 0.1783  3 Tm 3.18
Tm 0.0000 0.0000 0.0000  6 Pb 3.18
Ba 0.5000 0.5000 0.5000  6 Pb 3.62

---

(7)
A relaxed structure of KBa2CaC, computed with GGA-PBE.

## Properties
- V: 43.76 Å³/atom
- N(E_F): 5.16 states/eV/f.u.
- Formation enthalpy at 0 K: 0.6351 eV/atom
- Uncorrected energy: -0.0955 hartree per atom

a = 5.8248 Å, b = 6.4489 Å, c = 5.8248 Å
α = 90.00°, β = 90.00°, γ = 90.00°
Last column: nearest neighbours and their distance in Å.
Fractional coordinates of all 5 atoms:
C 0.0000 0.0000 0.0000  4 Ba 2.91, 2 K 3.22
K 0.0000 0.5000 0.0000  2 C 3.22
Ba 0.0000 0.0000 0.5000  2 C 2.91
Ba 0.5000 0.0000 0.0000  2 C 2.91
Ca 0.5000 0.5000 0.5000  4 K 4.12, 8 Ba 4.35

---

(8)
A relaxed structure of RbNdTiNbO6F, computed with GGA-PBE.

## Properties
- Energy relative to the elements, uncorrected: -2.9508 eV/atom
- V: 15.35 Å³/atom
- N(E_F): 0.00 states/eV/f.u.
- Uncorrected energy: -0.2933 hartree per atom

a = 3.8526 Å, b = 3.8526 Å, c = 11.3759 Å
α = 90.00°, β = 90.00°, γ = 90.00°
Last column: nearest neighbours and their distance in Å.
Fractional coordinates of all 11 atoms:
O 0.5000 0.0000 0.1547  2 Nb 2.01
O 0.0000 0.0000 0.6415  1 Ti 1.71
O 0.5000 0.0000 0.8445  2 Ti 2.02
O 0.0000 0.5000 0.8445  2 Ti 2.02
O 0.0000 0.5000 0.1547  2 Nb 2.01
O 0.0000 0.0000 0.3635  1 Nb 1.79
Rb 0.5000 0.5000 0.5229  8 O 3.04-3.27
F 0.0000 0.0000 0.9992  1 Nb 2.36, 1 Ti 2.36, 8 O 2.61-2.62
Nd 0.5000 0.5000 0.9766  4 O 2.44
Nb 0.0000 0.0000 0.2064  1 O 1.79
Ti 0.0000 0.0000 0.7914  1 O 1.71

---

(9)
A relaxed structure of Li2ScAu8, computed with GGA-PBE.

## Properties
- E above lowest polymorph: 53.5 meV per atom
- V: 18.57 Å³/atom
- N(E_F): 2.91 states/eV/f.u.
- Formation enthalpy at 0 K: -0.4015 eV/atom
- Uncorrected energy: -0.1363 hartree per atom

a = 3.9582 Å, b = 8.5217 Å, c = 7.6642 Å
α = 123.78°, β = 104.97°, γ = 90.00°
Last column: nearest neighbours and their distance in Å.
Fractional coordinates of all 11 atoms:
Au 0.6645 0.9136 0.3290  7 Au 2.81-2.92, 3 Li 2.91-3.08, 1 Sc 2.92
Au 0.0000 0.7470 0.0000  2 Li 2.80, 6 Au 2.81-3.05, 2 Sc 2.93
Au 0.0000 0.2530 0.0000  2 Li 2.80, 6 Au 2.81-3.05, 2 Sc 2.93
Au 0.3355 0.0864 0.6710  7 Au 2.81-2.92, 3 Li 2.91-3.08, 1 Sc 2.92
Au 0.3355 0.5847 0.6710  7 Au 2.81-2.92, 3 Li 2.91-3.08, 1 Sc 2.92
Au 0.8223 0.8223 0.6446  2 Li 2.85, 8 Au 2.86-3.05, 2 Sc 2.92
Au 0.1777 0.1777 0.3554  2 Li 2.85, 8 Au 2.86-3.05, 2 Sc 2.92
Au 0.6645 0.4153 0.3290  7 Au 2.81-2.92, 3 Li 2.91-3.08, 1 Sc 2.92
Sc 0.5000 0.0000 0.0000  12 Au 2.92-2.93
Li 0.1528 0.6528 0.3057  10 Au 2.80-3.08
Li 0.8472 0.3472 0.6943  10 Au 2.80-3.08

---

(10)
A relaxed structure of LaAs2N, computed with GGA-PBE.

## Properties
- Energy relative to the elements, uncorrected: 0.0078 eV/atom
- V: 20.37 Å³/atom
- N(E_F): 1.89 states/eV/f.u.
- Uncorrected energy: -0.2069 hartree per atom

a = 6.9506 Å, b = 6.9506 Å, c = 5.9612 Å
α = 54.34°, β = 54.34°, γ = 90.00°
Last column: nearest neighbours and their distance in Å.
Fractional coordinates of all 8 atoms:
La 0.0000 0.0000 0.0000  8 As 3.19-3.21, 2 N 3.37
La 0.7500 0.2500 0.5000  8 As 3.19-3.21, 2 N 3.37
N 0.5000 0.5000 0.0000  4 As 2.15
N 0.2500 0.7500 0.5000  4 As 2.15
As 0.2402 0.6250 0.2500  2 N 2.15
As 0.5098 0.1250 0.2500  2 N 2.15
As 0.8750 0.7598 0.7500  2 N 2.15
As 0.3750 0.4902 0.7500  2 N 2.15

---

(11)
A relaxed structure of Hf2MoPt, computed with GGA-PBE.

## Properties
- V: 18.20 Å³/atom
- N(E_F): 2.76 states/eV/f.u.
- Formation enthalpy at 0 K: -0.6652 eV/atom
- Uncorrected energy: -0.3623 hartree per atom

a = 3.3448 Å, b = 3.3448 Å, c = 6.5077 Å
α = 90.00°, β = 90.00°, γ = 90.00°
Last column: nearest neighbours and their distance in Å.
Fractional coordinates of all 4 atoms:
Pt 0.5000 0.5000 0.5000  8 Hf 2.90
Mo 0.5000 0.5000 0.0000  8 Hf 2.84
Hf 0.0000 0.0000 0.2427  4 Mo 2.84, 4 Pt 2.90, 1 Hf 3.16
Hf 0.0000 0.0000 0.7573  4 Mo 2.84, 4 Pt 2.90, 1 Hf 3.16

---

(12)
A relaxed structure of PmNd3Mg8, computed with GGA-PBE.

## Properties
- V: 27.14 Å³/atom
- N(E_F): 11.44 states/eV/f.u.
- Formation enthalpy at 0 K: -0.1043 eV/atom
- Uncorrected energy: -0.1013 hartree per atom

a = 6.1367 Å, b = 6.1367 Å, c = 10.5960 Å
α = 73.17°, β = 73.17°, γ = 60.00°
Last column: nearest neighbours and their distance in Å.
Fractional coordinates of all 12 atoms:
Mg 0.4374 0.4374 0.1879  6 Mg 3.06-3.07
Mg 0.9375 0.4380 0.6870  6 Mg 3.06-3.07
Mg 0.4380 0.9375 0.6870  6 Mg 3.06-3.07
Mg 0.9373 0.4374 0.1879  6 Mg 3.06-3.07
Mg 0.9375 0.9375 0.6870  6 Mg 3.06-3.07
Mg 0.1874 0.1874 0.4377  6 Mg 3.06
Mg 0.6875 0.6875 0.9376  6 Mg 3.06-3.07
Mg 0.4374 0.9373 0.1879  6 Mg 3.06-3.07
Nd 0.3751 0.3751 0.8748  12 Mg 3.59-3.60, 4 Nd 3.74-3.76
Nd 0.9998 0.9998 0.0005  12 Mg 3.59-3.60, 1 Pm 3.73, 3 Nd 3.76
Nd 0.5000 0.5000 0.5001  12 Mg 3.59-3.60, 1 Nd 3.74, 3 Pm 3.76
Pm 0.8752 0.8752 0.3745  12 Mg 3.59-3.60, 4 Nd 3.73-3.76

---

> The highest V belongs to which entry?

KBa2CaC

---

> The lowest N(E_F) belongs to which entry?

RbNdTiNbO6F

---

> What is the V in the third record?

18.87 Å³/atom

---

> What is the V in the tenth record?

20.37 Å³/atom